Entry 1:
The following is a DFT calculation (PBE-GGA) of ZnIn2PbO6 after structural relaxation.

Cell and atoms, written as POSCAR:
```
ZnIn2PbO6
1.0
2.776 1.603 4.909
-2.776 1.603 4.909
0.000 -3.206 4.909
Zn In Pb O
1 2 1 6
Direct
0.000 0.000 0.000
0.281 0.281 0.281
0.780 0.780 0.780
0.494 0.494 0.494
0.088 0.690 0.380
0.181 0.594 0.888
0.380 0.088 0.690
0.594 0.888 0.181
0.690 0.380 0.088
0.888 0.181 0.594
```

Summary:
**Raw formation energy**: -12.884 eV/f.u.
**Space group**: R3
**Total energy**: -53.09 eV/cell



Entry 2:
The following is a DFT calculation (PBE-GGA) of RbB2Br8 after structural relaxation.

Cell and atoms, written as POSCAR:
```
RbB2Br8
1.0
6.287 -3.524 0.000
6.287 3.524 0.000
-1.450 0.000 10.059
Rb B Br
1 2 8
Direct
0.000 0.000 0.000
0.269 0.269 0.750
0.731 0.731 0.250
0.036 0.563 0.185
0.239 0.239 0.549
0.428 0.428 0.814
0.437 0.964 0.815
0.563 0.036 0.185
0.572 0.572 0.186
0.761 0.761 0.451
0.964 0.437 0.815
```

Summary:
**Raw formation energy**: -6.798 eV/f.u.
**Space group**: C2/m
**Total energy**: -34.50 eV/cell



Entry 3:
The following is a DFT calculation (PBE-GGA) of InMoPt2 after structural relaxation.

Cell and atoms, written as POSCAR:
```
InMoPt2
1.0
4.004 0.000 0.000
0.000 4.029 0.000
0.000 0.000 4.169
In Mo Pt
1 1 2
Direct
0.000 0.000 0.000
0.500 0.500 0.000
0.000 0.500 0.500
0.500 0.000 0.500
```

Summary:
**Space group**: Pmmm
**Formation energy**: -0.0243 eV/atom
**Total energy**: -25.75 eV/cell



Entry 4:
The following is a DFT calculation (PBE-GGA) of Be3Pd4 after structural relaxation.

Cell and atoms, written as POSCAR:
```
Be3Pd4
1.0
1.979 1.143 6.404
-1.979 1.143 6.404
0.000 -2.286 6.404
Be Pd
3 4
Direct
0.000 0.000 0.000
0.249 0.249 0.249
0.751 0.751 0.751
0.126 0.126 0.126
0.376 0.376 0.376
0.624 0.624 0.624
0.874 0.874 0.874
```

Summary:
**Space group**: R-3m
**Formation energy**: -0.5191 eV/atom
**Total energy**: -35.58 eV/cell



Entry 5:
The following is a DFT calculation (PBE-GGA) of In2Ga2Bi after structural relaxation.

Cell and atoms, written as POSCAR:
```
In2Ga2Bi
1.0
3.867 0.000 0.000
0.000 3.867 0.000
0.000 0.000 17.405
In Ga Bi
4 4 2
Direct
0.000 0.000 0.108
0.000 0.000 0.892
0.500 0.500 0.392
0.500 0.500 0.608
0.000 0.500 0.250
0.000 0.500 0.750
0.500 0.000 0.250
0.500 0.000 0.750
0.000 0.000 0.500
0.500 0.500 0.000
```

Summary:
**ΔE to the lowest computed polymorph**: 31 meV/atom
**Space group**: I4/mmm
**Formation energy**: 0.0898 eV/atom
**Total energy**: -29.92 eV/cell



Entry 6:
The following is a DFT calculation (PBE-GGA) of LiBiP2O7 after structural relaxation.

Cell and atoms, written as POSCAR:
```
LiBiP2O7
1.0
4.966 0.000 0.000
0.000 9.059 0.000
-2.297 0.000 7.110
Li Bi P O
2 2 4 14
Direct
0.196 0.000 0.151
0.804 0.500 0.849
0.203 0.347 0.234
0.797 0.847 0.766
0.198 0.052 0.576
0.416 0.671 0.061
0.584 0.171 0.939
0.802 0.552 0.424
0.094 0.547 0.395
0.193 0.104 0.381
0.227 0.531 0.025
0.240 0.813 0.037
0.340 0.899 0.627
0.384 0.167 0.060
0.393 0.173 0.720
0.607 0.673 0.280
0.616 0.667 0.940
0.660 0.399 0.373
0.760 0.313 0.963
0.773 0.031 0.975
0.807 0.604 0.619
0.906 0.047 0.605
```

Summary:
**Raw formation energy**: -22.972 eV/f.u.
**ΔE to the lowest computed polymorph**: 3 meV/atom
**Space group**: P2_1
**Total energy**: -148.59 eV/cell



no.,total moment (Bohr magnetons per cell),N(E_F) (states/eV/atom)
1,0.0,0.24
2,0.0,1.11
3,0.5,1.16
4,0.0,0.23
5,0.0,0.58
6,0.0,0.00